Density functional theory data (PBE-GGA) for crystalline Ga6SnSe8 at its relaxed geometry.

The structure in POSCAR format:
```
Ga6SnSe8
1.0
-5.2209 -3.4593 -3.4393
-2.2410 -2.6600 6.2415
-4.2185 5.7073 0.8273
Ga Sn Se
6 1 8
Direct
0.6172 0.3985 0.8788
0.3985 0.8788 0.6172
0.8788 0.6172 0.3985
0.3828 0.6015 0.1212
0.6015 0.1212 0.3828
0.1212 0.3828 0.6015
0.0000 0.0000 0.0000
0.6917 0.6917 0.6917
0.3083 0.3083 0.3083
0.6694 0.8267 0.1794
0.8267 0.1794 0.6694
0.1794 0.6694 0.8267
0.3306 0.1733 0.8206
0.1733 0.8206 0.3306
0.8206 0.3306 0.1733
```

formation energy (no corrections) = -0.35 eV/atom
SG = No. 148
DOS at the Fermi energy = 0.58 states/eV per atom
total magnetization = 0.00 μB/f.u.

Density functional theory data (PBE-GGA) for crystalline NaTl5Bi2Pb at its relaxed geometry.

The structure in POSCAR format:
```
NaTl5Bi2Pb
1.0
5.0039 0.0000 0.0000
-2.5020 8.7597 0.0000
0.0000 0.0000 13.3308
Na Tl Bi Pb
2 10 4 2
Direct
0.5221 0.0441 0.8925
0.4779 0.9559 0.3925
0.3122 0.6245 0.1001
0.7281 0.4561 0.8887
0.4909 0.9818 0.6434
0.2976 0.5953 0.7020
0.0774 0.1547 0.5192
0.6878 0.3755 0.6001
0.2719 0.5439 0.3887
0.5091 0.0182 0.1434
0.7024 0.4047 0.2020
0.9226 0.8453 0.0192
0.9149 0.8297 0.7758
0.1122 0.2244 0.7712
0.0851 0.1703 0.2758
0.8878 0.7756 0.2712
0.8733 0.7467 0.5311
0.1267 0.2533 0.0311
```

formation energy from the elements = -0.023 eV per atom
SG = No. 36
DOS at the Fermi energy = 0.42 states/eV per atom
total magnetization = 0.00 μB/f.u.

Density functional theory data (PBE-GGA) for crystalline Ac4GeBiI2 at its relaxed geometry.

The structure in POSCAR format:
```
Ac4GeBiI2
1.0
4.7433 0.0000 0.0000
0.0000 8.2379 -0.1498
0.0000 2.9143 7.9181
Ac Ge Bi I
4 1 1 2
Direct
0.0000 0.7213 0.7350
0.0000 0.2787 0.2650
0.5000 0.7099 0.2839
0.5000 0.2901 0.7161
0.0000 0.5000 0.5000
0.5000 0.5000 0.0000
0.0000 0.0000 0.0000
0.5000 0.0000 0.5000
```

formation energy (no corrections) = -0.99 eV/atom
SG = No. 10
DOS at the Fermi energy = 0.59 states/eV per atom
total magnetization = 0.00 μB/f.u.

Density functional theory data (PBE-GGA) for crystalline MgZnCd at its relaxed geometry.

The structure in POSCAR format:
```
MgZnCd
1.0
-5.1315 3.5411 2.4003
-6.0540 2.7951 -0.4068
-1.8316 -2.1364 1.1696
Zn Mg Cd
1 1 1
Direct
0.3303 0.3299 0.6697
0.6743 0.6746 0.3257
0.9954 0.9955 0.0046
```

formation energy from the elements = -0.025 eV per atom
ΔE to the lowest computed polymorph = 20 meV per atom
SG = No. 107
DOS at the Fermi energy = 0.45 states/eV per atom
total magnetization = 0.00 μB/f.u.

Density functional theory data (PBE-GGA) for crystalline K2In2As3 at its relaxed geometry.

The structure in POSCAR format:
```
K2In2As3
1.0
7.2557 0.0000 0.0000
0.0000 14.6139 0.0012
0.0000 -0.0233 16.1004
K In As
16 16 24
Direct
0.0430 0.1435 0.9930
0.5430 0.8565 0.5070
0.9570 0.8565 0.0070
0.4570 0.1435 0.4930
0.4311 0.6548 0.0211
0.9311 0.3452 0.4789
0.5689 0.3452 0.9789
0.0689 0.6548 0.5211
0.4542 0.9157 0.1081
0.9542 0.0843 0.3919
0.5458 0.0843 0.8919
0.0458 0.9157 0.6081
0.0816 0.4370 0.9068
0.5816 0.5630 0.5932
0.9184 0.5630 0.0932
0.4184 0.4370 0.4068
0.2536 0.5899 0.2578
0.7536 0.4101 0.2422
0.7464 0.4101 0.7422
0.2557 0.8154 0.3239
0.7557 0.1846 0.1761
0.7443 0.1846 0.6761
0.2443 0.8154 0.8239
0.2880 0.0917 0.2300
0.7880 0.9083 0.2700
0.7120 0.9083 0.7700
0.2120 0.0917 0.7300
0.7731 0.6825 0.3321
0.2731 0.3175 0.1679
0.2269 0.3175 0.6679
0.7269 0.6825 0.8321
0.2464 0.5899 0.7578
0.1982 0.2475 0.8226
0.3018 0.2475 0.3226
0.8018 0.7525 0.1774
0.9583 0.5217 0.3422
0.4583 0.4783 0.1578
0.0417 0.4783 0.6578
0.5417 0.5217 0.8422
0.3522 0.7470 0.6722
0.8522 0.2530 0.8278
0.6478 0.2530 0.3278
0.1478 0.7470 0.1722
0.4319 0.6652 0.3916
0.6982 0.7525 0.6774
0.9319 0.3348 0.1084
0.5681 0.3348 0.6084
0.0681 0.6652 0.8916
0.0393 0.9698 0.8288
0.5393 0.0302 0.6712
0.9607 0.0302 0.1712
0.4607 0.9698 0.3288
0.5576 0.8367 0.9092
0.0576 0.1633 0.5908
0.4424 0.1633 0.0908
0.9424 0.8367 0.4092
```

formation energy from the elements = -0.428 eV per atom
ΔE to the lowest computed polymorph = 0 meV per atom
SG = No. 14
total magnetization = 0.00 μB/f.u.

Density functional theory data (PBE-GGA) for crystalline SrLiCa2Mg at its relaxed geometry.

The structure in POSCAR format:
```
SrLiCa2Mg
1.0
5.8231 0.0000 0.0000
0.0000 5.8231 0.0000
0.0000 0.0000 5.4465
Sr Ca Mg Li
1 2 1 1
Direct
0.5000 0.5000 0.5000
0.0000 0.5000 0.0000
0.5000 0.0000 0.0000
0.0000 0.0000 0.5000
0.0000 0.0000 0.0000
```

formation energy from the elements = 0.135 eV per atom
SG = No. 123
DOS at the Fermi energy = 1.31 states/eV per atom
total magnetization = 0.00 μB/f.u.

Density functional theory data (PBE-GGA) for crystalline NaTcSCl2 at its relaxed geometry.

The structure in POSCAR format:
```
NaTcSCl2
1.0
-3.6436 -1.4784 -3.4056
-2.0079 -3.1118 3.4990
-3.0954 3.8444 1.6427
Na S Tc Cl
1 1 1 2
Direct
0.0000 0.5000 0.0000
0.0000 0.0000 0.0000
0.5000 0.5000 0.5000
0.0000 0.0000 0.5000
0.5000 0.0000 0.0000
```

formation energy (no corrections) = 0.76 eV/atom
ΔE to the lowest computed polymorph = 1363 meV per atom
SG = No. 123
DOS at the Fermi energy = 1.35 states/eV per atom
total magnetization = 5.24 μB/f.u.

Density functional theory data (PBE-GGA) for crystalline Te2HPtN at its relaxed geometry.

The structure in POSCAR format:
```
Te2HPtN
1.0
5.2104 0.0000 0.0000
0.0000 2.8676 0.0000
0.0000 0.0000 5.2104
H Te Pt N
1 2 1 1
Direct
0.0000 0.0000 0.0000
0.0000 0.0000 0.5000
0.5000 0.0000 0.0000
0.5000 0.5000 0.5000
0.0000 0.5000 0.0000
```

ΔE to the lowest computed polymorph = 0 meV per atom
SG = No. 123
DOS at the Fermi energy = 0.59 states/eV per atom
total magnetization = 0.00 μB/f.u.